Entry from Alexandria via LeMat-Bulk: a relaxed Mn2TlSbRu crystal (PBE).

Results
The volume is 136.5 Å³/cell. For the total energy, the calculation gives -26.4 eV/cell. Its magnetization is 2.01 μB/atom.

```
data_Mn2TlSbRu
_chemical_formula_sum 'Mn2 Tl1 Sb1 Ru1'
_cell_length_a 4.9230
_cell_length_b 5.6331
_cell_length_c 4.9230
_cell_angle_alpha 90.00
_cell_angle_beta 90.00
_cell_angle_gamma 90.00
_symmetry_space_group_name_H-M 'P 1'
_symmetry_Int_Tables_number 1
loop_
_symmetry_equiv_pos_as_xyz
'x,y,z'
loop_
_atom_site_label
_atom_site_type_symbol
_atom_site_fract_x
_atom_site_fract_y
_atom_site_fract_z
_atom_site_occupancy
Sb1 Sb 0.0000 0.0000 0.0000 1
Tl1 Tl 0.0000 0.5000 0.0000 1
Mn1 Mn 0.0000 0.0000 0.5000 1
Mn2 Mn 0.5000 0.0000 0.0000 1
Ru1 Ru 0.5000 0.5000 0.5000 1
```